*w*
Entry from Alexandria: a relaxed Hf2CoRe crystal (GGA-PBE).

a b c (Å): 7.0220 7.0220 5.7286
angles (deg): 52.20 52.20 90.00
Last column: nearest neighbours and their distance in Å.
Element x y z (fractional)
Re  0.0000  0.0000  0.0000  4 Hf 2.71, 2 Co 2.86
Re  0.7500  0.2500  0.5000  4 Hf 2.71, 2 Co 2.86
Hf  0.5990  0.1250  0.2500  2 Co 2.46, 2 Re 2.71
Hf  0.1510  0.6250  0.2500  2 Co 2.46, 2 Re 2.71
Hf  0.3750  0.4010  0.7500  2 Co 2.46, 2 Re 2.71
Hf  0.8750  0.8490  0.7500  2 Co 2.46, 2 Re 2.71
Co  0.5000  0.5000  0.0000  4 Hf 2.46
Co  0.2500  0.7500  0.5000  4 Hf 2.46

Calculated values
symmetry: No. 122
size of the total moment: 0.00 μB per cell

=====

*x*
Entry from Alexandria: a relaxed Hf2CoRe crystal (GGA-PBE).

a b c (Å): 3.2362 3.2362 6.3620
angles (deg): 90.00 90.00 90.00
Last column: nearest neighbours and their distance in Å.
Element x y z (fractional)
Re  0.5000  0.5000  0.5000  8 Hf 2.80
Hf  0.0000  0.0000  0.7539  4 Co 2.77, 4 Re 2.80
Hf  0.0000  0.0000  0.2461  4 Co 2.77, 4 Re 2.80
Co  0.5000  0.5000  0.0000  8 Hf 2.77

Calculated values
symmetry: No. 123
size of the total moment: 0.00 μB per cell

=====

So which one is most stable? That would be *x*, about 69.3 kJ/mol of atoms below the next structure.

=====

*w*
Entry from Alexandria: a relaxed HfTiCoRe crystal (GGA-PBE).

a b c (Å): 3.1580 3.1580 6.1993
angles (deg): 90.00 90.00 90.00
Last column: nearest neighbours and their distance in Å.
Element x y z (fractional)
Hf  0.0000  0.0000  0.3495  4 Co 2.72, 4 Re 2.80
Ti  0.0000  0.0000  0.8578  4 Re 2.67, 4 Co 2.69
Co  0.5000  0.5000  0.0990  4 Ti 2.69, 4 Hf 2.72, 1 Re 2.96
Re  0.5000  0.5000  0.6217  4 Ti 2.67, 4 Hf 2.80, 1 Co 2.96

Calculated values
symmetry: No. 99
size of the total moment: 0.01 μB per cell

=====

*x*
Entry from Alexandria: a relaxed HfTiCoRe crystal (GGA-PBE).

a b c (Å): 4.4400 4.4400 4.4400
angles (deg): 60.00 60.00 60.00
Last column: nearest neighbours and their distance in Å.
Element x y z (fractional)
Re  0.5000  0.5000  0.5000  4 Hf 2.72, 4 Ti 2.72
Ti  0.7500  0.7500  0.7500  4 Re 2.72, 4 Co 2.72
Hf  0.2500  0.2500  0.2500  4 Co 2.72, 4 Re 2.72
Co  0.0000  0.0000  0.0000  4 Hf 2.72, 4 Ti 2.72

Calculated values
symmetry: No. 216
size of the total moment: 0.00 μB per cell

=====

So which one is most stable? That would be *w*, about 1.3 kJ/mol of atoms below the next structure.

=====

*w*
Entry from Alexandria: a relaxed HfCo3Rh crystal (GGA-PBE).

a b c (Å): 4.4211 4.4211 4.4211
angles (deg): 90.00 90.00 90.00
Last column: nearest neighbours and their distance in Å.
Element x y z (fractional)
Rh  0.5000  0.5000  0.5000  12 Co 3.13
Hf  0.0000  0.0000  0.0000  6 Co 2.21
Co  0.0000  0.5000  0.0000  2 Hf 2.21
Co  0.0000  0.0000  0.5000  2 Hf 2.21
Co  0.5000  0.0000  0.0000  2 Hf 2.21

Calculated values
symmetry: No. 221
size of the total moment: 3.61 μB per cell

=====

*x*
Entry from Alexandria: a relaxed HfCo3Rh crystal (GGA-PBE).

a b c (Å): 4.4490 4.4490 4.4490
angles (deg): 90.00 90.00 90.00
Last column: nearest neighbours and their distance in Å.
Element x y z (fractional)
Rh  0.0000  0.0000  0.0000  6 Co 2.22
Hf  0.5000  0.5000  0.5000  12 Co 3.15
Co  0.0000  0.5000  0.0000  2 Rh 2.22
Co  0.0000  0.0000  0.5000  2 Rh 2.22
Co  0.5000  0.0000  0.0000  2 Rh 2.22

Calculated values
symmetry: No. 221
size of the total moment: 5.27 μB per cell

=====

So which one is most stable? That would be *x*, about 48.6 kJ/mol of atoms below the next structure.

=====

*w*
Entry from Alexandria: a relaxed Hf3CoRh crystal (GGA-PBE).

a b c (Å): 4.6880 4.6880 4.6880
angles (deg): 90.00 90.00 90.00
Last column: nearest neighbours and their distance in Å.
Element x y z (fractional)
Rh  0.5000  0.5000  0.5000  12 Hf 3.31
Hf  0.0000  0.5000  0.0000  2 Co 2.34
Hf  0.0000  0.0000  0.5000  2 Co 2.34
Hf  0.5000  0.0000  0.0000  2 Co 2.34
Co  0.0000  0.0000  0.0000  6 Hf 2.34

Calculated values
symmetry: No. 221
size of the total moment: 0.00 μB per cell

=====

*x*
Entry from Alexandria: a relaxed Hf3CoRh crystal (GGA-PBE).

a b c (Å): 4.2359 5.9584 7.4567
angles (deg): 90.00 90.00 90.00
Last column: nearest neighbours and their distance in Å.
Element x y z (fractional)
Hf  0.7500  0.7500  0.0436  1 Co 2.54, 2 Rh 2.69
Hf  0.2500  0.2500  0.9564  1 Co 2.54, 2 Rh 2.69
Hf  0.7500  0.9983  0.6613  3 Co 2.54-2.62
Hf  0.7500  0.5017  0.6613  3 Co 2.54-2.62
Hf  0.2500  0.0017  0.3387  3 Co 2.54-2.62
Hf  0.2500  0.4983  0.3387  3 Co 2.54-2.62
Co  0.7500  0.7500  0.3841  7 Hf 2.54-2.62
Co  0.2500  0.2500  0.6159  7 Hf 2.54-2.62
Rh  0.7500  0.2500  0.1780  6 Hf 2.69-2.85
Rh  0.2500  0.7500  0.8220  6 Hf 2.69-2.85

Calculated values
symmetry: No. 59
size of the total moment: 0.00 μB per cell

=====

So which one is most stable? That would be *x*, about 50.9 kJ/mol of atoms below the next structure.

=====

*w*
Entry from Alexandria: a relaxed Hf3Co2Rh crystal (GGA-PBE).

a b c (Å): 3.2143 4.5191 7.1166
angles (deg): 108.51 90.00 90.00
Last column: nearest neighbours and their distance in Å.
Element x y z (fractional)
Hf  0.5000  0.5000  0.0000  4 Co 2.76, 4 Rh 2.77
Hf  0.5000  0.8285  0.6569  6 Co 2.72-2.77, 2 Rh 2.82
Hf  0.5000  0.1715  0.3431  6 Co 2.72-2.77, 2 Rh 2.82
Co  0.0000  0.3340  0.6681  8 Hf 2.72-2.77
Co  0.0000  0.6660  0.3319  8 Hf 2.72-2.77
Rh  0.0000  0.0000  0.0000  8 Hf 2.77-2.82

Calculated values
symmetry: No. 65
size of the total moment: 1.45 μB per cell

=====

*x*
Entry from Alexandria: a relaxed Hf3Co2Rh crystal (GGA-PBE).

a b c (Å): 3.1600 3.1600 9.7405
angles (deg): 90.00 90.00 90.00
Last column: nearest neighbours and their distance in Å.
Element x y z (fractional)
Hf  0.0000  0.0000  0.0000  8 Co 2.75
Hf  0.0000  0.0000  0.6764  4 Co 2.72, 4 Rh 2.82
Hf  0.0000  0.0000  0.3236  4 Co 2.72, 4 Rh 2.82
Co  0.5000  0.5000  0.8361  8 Hf 2.72-2.75
Co  0.5000  0.5000  0.1639  8 Hf 2.72-2.75
Rh  0.5000  0.5000  0.5000  8 Hf 2.82

Calculated values
symmetry: No. 123
size of the total moment: 0.00 μB per cell

=====

So which one is most stable? That would be *x*, about 0.6 kJ/mol of atoms below the next structure.

=====

*w*
Entry from Alexandria: a relaxed HfCoRh3 crystal (GGA-PBE).

a b c (Å): 4.7261 4.7261 4.7261
angles (deg): 90.00 90.00 90.00
Last column: nearest neighbours and their distance in Å.
Element x y z (fractional)
Rh  0.0000  0.5000  0.0000  2 Hf 2.36
Rh  0.0000  0.0000  0.5000  2 Hf 2.36
Rh  0.5000  0.0000  0.0000  2 Hf 2.36
Hf  0.0000  0.0000  0.0000  6 Rh 2.36
Co  0.5000  0.5000  0.5000  12 Rh 3.34

Calculated values
symmetry: No. 221
size of the total moment: 2.84 μB per cell

=====

*x*
Entry from Alexandria: a relaxed HfCoRh3 crystal (GGA-PBE).

a b c (Å): 4.4331 4.4331 4.4331
angles (deg): 90.00 90.00 90.00
Last column: nearest neighbours and their distance in Å.
Element x y z (fractional)
Rh  0.0000  0.5000  0.0000  2 Co 2.22
Rh  0.0000  0.0000  0.5000  2 Co 2.22
Rh  0.5000  0.0000  0.0000  2 Co 2.22
Hf  0.5000  0.5000  0.5000  12 Rh 3.13
Co  0.0000  0.0000  0.0000  6 Rh 2.22

Calculated values
symmetry: No. 221
size of the total moment: 3.14 μB per cell

=====

So which one is most stable? That would be *x*, about 74.4 kJ/mol of atoms below the next structure.